KSmHgBr6 | PBE | optimized geometry

Summary:
DOS(E_F) = 0.00 states/eV per cell
ρ = 4.164 g cm⁻³
Magnetic moment = 0.00 μB per cell
Uncorrected energy = -56.79 eV/cell
Raw formation energy = -1.3597 eV/atom
Symmetry = P-31c (163)

Geometry as POSCAR:
```
KSmHgBr6
1.0
7.403 0.000 0.000
-3.702 6.412 0.000
0.000 0.000 14.608
K Sm Hg Br
2 2 2 12
Cartesian
0.000 0.000 0.000
0.000 0.000 7.304
0.000 4.274 3.652
3.702 2.137 10.956
0.000 4.274 10.956
3.702 2.137 3.652
-1.367 2.381 9.288
-2.323 4.038 12.624
1.367 2.381 12.624
-0.956 6.405 9.288
2.745 0.007 1.984
1.379 2.374 5.320
2.323 4.038 9.288
0.956 6.405 12.624
4.658 0.007 5.320
2.335 4.031 1.984
6.025 2.374 1.984
5.068 4.031 5.320
```